1.
This record from Alexandria describes Li4B4Sb2SO16 at its PBEsol-relaxed geometry. The functional is meta-GGA SCAN.

Calculated values
- Uncorrected formation energy: -2101 meV per atom
- Crystal system: orthorhombic
- SG: Fddd, No. 70
- Final energy: -10.36 eV/atom

a b c (Å): 9.2779 9.2779 9.6714
angles (deg): 117.72 117.72 91.74
Last column: nearest neighbours and their distance in Å.
Sites, in units of the cell vectors:
O 0.9766 0.5170 0.2059  1 B 1.37
B 0.3269 0.6382 0.6622  3 O 1.37-1.38
Li 0.2971 0.2971 0.0000  4 O 2.11-2.17
Li 0.5471 0.0471 0.5000  4 O 2.11-2.17
O 0.6957 0.3296 0.3881  1 S 1.49
O 0.3219 0.0212 0.5133  1 B 1.37
Sb 0.1250 0.8750 0.2500  6 O 1.97-2.00
Li 0.9519 0.0481 0.5000  6 O 2.16-2.41
Sb 0.1250 0.3750 0.2500  6 O 1.97-2.00
O 0.1985 0.0259 0.6840  1 B 1.38
O 0.7645 0.0919 0.8160  1 B 1.38
O 0.0586 0.2579 0.9867  1 B 1.37
O 0.2759 0.9485 0.1840  1 B 1.38
O 0.4855 0.6581 0.6840  1 B 1.38
O 0.9788 0.6781 0.4867  1 B 1.37
B 0.3618 0.6731 0.3378  3 O 1.37-1.38
O 0.5543 0.4204 0.1119  1 S 1.49
O 0.5576 0.6915 0.1119  1 S 1.49
O 0.2712 0.0719 0.0133  1 B 1.37
B 0.8882 0.0769 0.1622  3 O 1.37-1.38
O 0.4830 0.0234 0.7941  1 B 1.37
Li 0.5481 0.4519 0.5000  6 O 2.16-2.41
O 0.7421 0.9414 0.0133  1 B 1.37
Sb 0.6250 0.8750 0.7500  6 O 1.97-2.00
Li 0.7019 0.2981 0.0000  6 O 2.16-2.41
O 0.3085 0.4424 0.8881  1 S 1.49
O 0.6924 0.0585 0.3881  1 S 1.49
O 0.9390 0.9793 0.7059  1 B 1.37
Li 0.7029 0.7029 0.0000  4 O 2.11-2.17
O 0.0515 0.7241 0.8160  1 B 1.38
B 0.9760 0.6647 0.3378  3 O 1.37-1.38
O 0.5796 0.4457 0.8881  1 S 1.49
O 0.2734 0.2330 0.2941  1 B 1.37
O 0.3419 0.5145 0.3160  1 B 1.38
B 0.3353 0.0240 0.6622  3 O 1.37-1.38
B 0.9147 0.7260 0.8378  3 O 1.37-1.38
O 0.9741 0.8015 0.3160  1 B 1.38
B 0.9231 0.1118 0.8378  3 O 1.37-1.38
O 0.6704 0.3043 0.6119  1 S 1.49
Li 0.2981 0.7019 0.0000  6 O 2.16-2.41
O 0.2293 0.6890 0.2059  1 B 1.37
O 0.9281 0.7288 0.9867  1 B 1.37
O 0.0207 0.0610 0.2941  1 B 1.37
S 0.5000 0.5000 0.0000  4 O 1.49
Sb 0.1250 0.8750 0.7500  6 O 1.97-2.00
O 0.3110 0.7707 0.7941  1 B 1.37
Li 0.9529 0.4529 0.5000  4 O 2.11-2.17
S 0.7500 0.2500 0.5000  4 O 1.49
O 0.5079 0.8086 0.4867  1 B 1.37
O 0.7670 0.7266 0.7059  1 B 1.37
O 0.1914 0.4921 0.5133  1 B 1.37
B 0.2740 0.0853 0.1622  3 O 1.37-1.38
O 0.9081 0.2355 0.1840  1 B 1.38
O 0.9415 0.3076 0.6119  1 S 1.49

2.
This record from Alexandria describes LiB2SbO5 at its PBEsol-relaxed geometry. The functional is meta-GGA SCAN.

Calculated values
- Uncorrected formation energy: -2186 meV per atom
- Crystal system: monoclinic
- SG: C2/c, No. 15
- Final energy: -11.70 eV/atom

a b c (Å): 7.1485 7.1485 9.7867
angles (deg): 104.09 104.09 106.10
Last column: nearest neighbours and their distance in Å.
Sites, in units of the cell vectors:
O 0.8083 0.8902 0.5507  1 B 1.35
O 0.2581 0.1938 0.7631  1 B 1.38
Li 0.3325 0.6675 0.7500  2 O 1.97
B 0.3594 0.8017 0.0258  3 O 1.34-1.42
O 0.8862 0.3609 0.6646  1 B 1.34
O 0.8902 0.8083 0.0507  1 B 1.35
O 0.2239 0.4670 0.5102  2 B 1.40-1.42
O 0.5330 0.7761 0.9898  2 B 1.40-1.42
O 0.1900 0.7262 0.8953  1 B 1.39
O 0.1098 0.1917 0.9493  1 B 1.35
O 0.7419 0.8062 0.2369  1 B 1.38
B 0.6406 0.1983 0.9742  3 O 1.34-1.42
Sb 0.1086 0.4157 0.1352  4 O 1.98-2.19
O 0.3609 0.8862 0.1646  1 B 1.34
Li 0.1078 0.8922 0.2500  4 O 2.00-2.18
Sb 0.8914 0.5843 0.8648  4 O 1.98-2.19
O 0.2738 0.8100 0.6047  1 B 1.39
Sb 0.4157 0.1086 0.6352  4 O 1.98-2.19
B 0.2785 0.1991 0.9080  3 O 1.35-1.40
O 0.1917 0.1098 0.4493  1 B 1.35
Li 0.6675 0.3325 0.2500  2 O 1.97
Li 0.8922 0.1078 0.7500  4 O 2.00-2.18
B 0.8017 0.3594 0.5258  3 O 1.34-1.42
B 0.7215 0.8009 0.0920  3 O 1.35-1.40
O 0.8100 0.2738 0.1047  1 B 1.39
B 0.8009 0.7215 0.5920  3 O 1.35-1.40
B 0.1991 0.2785 0.4080  3 O 1.35-1.40
O 0.4670 0.2239 0.0102  2 B 1.40-1.42
O 0.6391 0.1138 0.8354  1 B 1.34
O 0.1138 0.6391 0.3354  1 B 1.34
O 0.7761 0.5330 0.4898  2 B 1.40-1.42
O 0.8062 0.7419 0.7369  1 B 1.38
O 0.7262 0.1900 0.3953  1 B 1.39
B 0.1983 0.6406 0.4742  3 O 1.34-1.42
Sb 0.5843 0.8914 0.3648  4 O 1.98-2.19
O 0.1938 0.2581 0.2631  1 B 1.38

3.
This record from Alexandria describes Li6B3SbO9 at its PBEsol-relaxed geometry. The functional is meta-GGA SCAN.

Calculated values
- Uncorrected formation energy: -2303 meV per atom
- Crystal system: monoclinic
- SG: P2_1/c, No. 14
- Final energy: -9.14 eV/atom

a b c (Å): 6.6996 7.0850 16.6966
angles (deg): 90.00 90.00 103.57
Last column: nearest neighbours and their distance in Å.
Sites, in units of the cell vectors:
Li 0.6013 0.1381 0.4500  3 O 1.87-2.09
B 0.3156 0.4423 0.6087  3 O 1.37-1.40
Sb 0.1569 0.0837 0.6822  2 O 2.08-2.20
O 0.7090 0.5765 0.3091  1 B 1.39
O 0.5547 0.8612 0.9342  1 B 1.39
B 0.4997 0.2946 0.1187  3 O 1.37-1.40
O 0.4196 0.6076 0.5711  1 B 1.37
Li 0.8542 0.7167 0.7909  4 O 1.99-2.09
B 0.0003 0.7054 0.6187  3 O 1.37-1.40
Sb 0.6569 0.0837 0.8178  2 O 2.08-2.20
Li 0.1692 0.5425 0.9679  4 O 1.90-2.05
O 0.4257 0.9928 0.6630  1 B 1.42
Li 0.9366 0.2988 0.5380  4 O 1.90-2.08
Li 0.3542 0.7167 0.7091  4 O 1.99-2.09
O 0.7723 0.1514 0.6955  1 B 1.37
Li 0.5634 0.7012 0.0380  4 O 1.90-2.08
O 0.9027 0.5239 0.5930  1 B 1.37
O 0.4027 0.5239 0.9070  1 B 1.37
O 0.7910 0.4235 0.8091  1 B 1.39
Li 0.3246 0.9271 0.9915  4 O 1.85-1.97
O 0.1717 0.0835 0.9415  1 B 1.36
Li 0.0634 0.7012 0.4620  4 O 1.90-2.08
Li 0.9273 0.4285 0.7051  4 O 1.96-2.16
B 0.6844 0.5577 0.3913  3 O 1.37-1.40
Li 0.8308 0.4575 0.0321  4 O 1.90-2.05
O 0.2277 0.8486 0.3045  1 B 1.37
O 0.0804 0.3924 0.0711  1 B 1.37
Li 0.8987 0.8619 0.9500  3 O 1.87-2.09
O 0.4505 0.2606 0.1999  1 B 1.40
O 0.2910 0.4235 0.6909  1 B 1.39
Li 0.0727 0.5715 0.2949  4 O 1.96-2.16
B 0.1273 0.0828 0.8623  3 O 1.36-1.42
O 0.9257 0.9928 0.8370  1 B 1.42
Li 0.3308 0.4575 0.4679  4 O 1.90-2.05
Li 0.5727 0.5715 0.2051  4 O 1.96-2.16
O 0.2723 0.1514 0.8045  1 B 1.37
O 0.9453 0.1388 0.4342  1 B 1.39
O 0.9196 0.6076 0.9289  1 B 1.37
O 0.0547 0.8612 0.5658  1 B 1.39
O 0.5743 0.0072 0.3370  1 B 1.42
Li 0.8246 0.9271 0.5085  4 O 1.85-1.97
Li 0.1458 0.2833 0.2091  4 O 1.99-2.09
B 0.3727 0.9172 0.3623  3 O 1.36-1.42
O 0.5495 0.7394 0.8001  1 B 1.40
O 0.5973 0.4761 0.0930  1 B 1.37
O 0.6717 0.0835 0.5585  1 B 1.36
Li 0.1013 0.1381 0.0500  3 O 1.87-2.09
O 0.2090 0.5765 0.1909  1 B 1.39
Li 0.4366 0.2988 0.9620  4 O 1.90-2.08
O 0.5804 0.3924 0.4289  1 B 1.37
Li 0.6692 0.5425 0.5321  4 O 1.90-2.05
O 0.2300 0.2781 0.5630  1 B 1.40
Li 0.6458 0.2833 0.2909  4 O 1.99-2.09
O 0.4453 0.1388 0.0658  1 B 1.39
Sb 0.8431 0.9163 0.3178  2 O 2.08-2.20
B 0.8156 0.4423 0.8913  3 O 1.37-1.40
B 0.8727 0.9172 0.1377  3 O 1.36-1.42
B 0.5003 0.7054 0.8813  3 O 1.37-1.40
O 0.7300 0.2781 0.9370  1 B 1.40
B 0.1844 0.5577 0.1087  3 O 1.37-1.40
O 0.0495 0.7394 0.6999  1 B 1.40
Li 0.4273 0.4285 0.7949  4 O 1.96-2.16
O 0.0743 0.0072 0.1630  1 B 1.42
Li 0.3987 0.8619 0.5500  3 O 1.87-2.09
O 0.7700 0.7219 0.4370  1 B 1.40
B 0.6273 0.0828 0.6377  3 O 1.36-1.42
O 0.3283 0.9165 0.4415  1 B 1.36
O 0.9505 0.2606 0.3001  1 B 1.40
O 0.7277 0.8486 0.1955  1 B 1.37
Li 0.6754 0.0729 0.0085  4 O 1.85-1.97
Sb 0.3431 0.9163 0.1822  2 O 2.08-2.20
O 0.8283 0.9165 0.0585  1 B 1.36
B 0.9997 0.2946 0.3813  3 O 1.37-1.40
O 0.0973 0.4761 0.4070  1 B 1.37
Li 0.1754 0.0729 0.4915  4 O 1.85-1.97
O 0.2700 0.7219 0.0630  1 B 1.40

The lowest final energy belongs to which entry? LiB2SbO5

Which of these has the highest uncorrected formation energy? Li4B4Sb2SO16

Please write out number 1 again, unchanged.
This record from Alexandria describes Li4B4Sb2SO16 at its PBEsol-relaxed geometry. The functional is meta-GGA SCAN.

Calculated values
- Uncorrected formation energy: -2101 meV per atom
- Crystal system: orthorhombic
- SG: Fddd, No. 70
- Final energy: -10.36 eV/atom

a b c (Å): 9.2779 9.2779 9.6714
angles (deg): 117.72 117.72 91.74
Last column: nearest neighbours and their distance in Å.
Sites, in units of the cell vectors:
O 0.9766 0.5170 0.2059  1 B 1.37
B 0.3269 0.6382 0.6622  3 O 1.37-1.38
Li 0.2971 0.2971 0.0000  4 O 2.11-2.17
Li 0.5471 0.0471 0.5000  4 O 2.11-2.17
O 0.6957 0.3296 0.3881  1 S 1.49
O 0.3219 0.0212 0.5133  1 B 1.37
Sb 0.1250 0.8750 0.2500  6 O 1.97-2.00
Li 0.9519 0.0481 0.5000  6 O 2.16-2.41
Sb 0.1250 0.3750 0.2500  6 O 1.97-2.00
O 0.1985 0.0259 0.6840  1 B 1.38
O 0.7645 0.0919 0.8160  1 B 1.38
O 0.0586 0.2579 0.9867  1 B 1.37
O 0.2759 0.9485 0.1840  1 B 1.38
O 0.4855 0.6581 0.6840  1 B 1.38
O 0.9788 0.6781 0.4867  1 B 1.37
B 0.3618 0.6731 0.3378  3 O 1.37-1.38
O 0.5543 0.4204 0.1119  1 S 1.49
O 0.5576 0.6915 0.1119  1 S 1.49
O 0.2712 0.0719 0.0133  1 B 1.37
B 0.8882 0.0769 0.1622  3 O 1.37-1.38
O 0.4830 0.0234 0.7941  1 B 1.37
Li 0.5481 0.4519 0.5000  6 O 2.16-2.41
O 0.7421 0.9414 0.0133  1 B 1.37
Sb 0.6250 0.8750 0.7500  6 O 1.97-2.00
Li 0.7019 0.2981 0.0000  6 O 2.16-2.41
O 0.3085 0.4424 0.8881  1 S 1.49
O 0.6924 0.0585 0.3881  1 S 1.49
O 0.9390 0.9793 0.7059  1 B 1.37
Li 0.7029 0.7029 0.0000  4 O 2.11-2.17
O 0.0515 0.7241 0.8160  1 B 1.38
B 0.9760 0.6647 0.3378  3 O 1.37-1.38
O 0.5796 0.4457 0.8881  1 S 1.49
O 0.2734 0.2330 0.2941  1 B 1.37
O 0.3419 0.5145 0.3160  1 B 1.38
B 0.3353 0.0240 0.6622  3 O 1.37-1.38
B 0.9147 0.7260 0.8378  3 O 1.37-1.38
O 0.9741 0.8015 0.3160  1 B 1.38
B 0.9231 0.1118 0.8378  3 O 1.37-1.38
O 0.6704 0.3043 0.6119  1 S 1.49
Li 0.2981 0.7019 0.0000  6 O 2.16-2.41
O 0.2293 0.6890 0.2059  1 B 1.37
O 0.9281 0.7288 0.9867  1 B 1.37
O 0.0207 0.0610 0.2941  1 B 1.37
S 0.5000 0.5000 0.0000  4 O 1.49
Sb 0.1250 0.8750 0.7500  6 O 1.97-2.00
O 0.3110 0.7707 0.7941  1 B 1.37
Li 0.9529 0.4529 0.5000  4 O 2.11-2.17
S 0.7500 0.2500 0.5000  4 O 1.49
O 0.5079 0.8086 0.4867  1 B 1.37
O 0.7670 0.7266 0.7059  1 B 1.37
O 0.1914 0.4921 0.5133  1 B 1.37
B 0.2740 0.0853 0.1622  3 O 1.37-1.38
O 0.9081 0.2355 0.1840  1 B 1.38
O 0.9415 0.3076 0.6119  1 S 1.49

Copy entry 1 word for word.
This record from Alexandria describes Li4B4Sb2SO16 at its PBEsol-relaxed geometry. The functional is meta-GGA SCAN.

Calculated values
- Uncorrected formation energy: -2101 meV per atom
- Crystal system: orthorhombic
- SG: Fddd, No. 70
- Final energy: -10.36 eV/atom

a b c (Å): 9.2779 9.2779 9.6714
angles (deg): 117.72 117.72 91.74
Last column: nearest neighbours and their distance in Å.
Sites, in units of the cell vectors:
O 0.9766 0.5170 0.2059  1 B 1.37
B 0.3269 0.6382 0.6622  3 O 1.37-1.38
Li 0.2971 0.2971 0.0000  4 O 2.11-2.17
Li 0.5471 0.0471 0.5000  4 O 2.11-2.17
O 0.6957 0.3296 0.3881  1 S 1.49
O 0.3219 0.0212 0.5133  1 B 1.37
Sb 0.1250 0.8750 0.2500  6 O 1.97-2.00
Li 0.9519 0.0481 0.5000  6 O 2.16-2.41
Sb 0.1250 0.3750 0.2500  6 O 1.97-2.00
O 0.1985 0.0259 0.6840  1 B 1.38
O 0.7645 0.0919 0.8160  1 B 1.38
O 0.0586 0.2579 0.9867  1 B 1.37
O 0.2759 0.9485 0.1840  1 B 1.38
O 0.4855 0.6581 0.6840  1 B 1.38
O 0.9788 0.6781 0.4867  1 B 1.37
B 0.3618 0.6731 0.3378  3 O 1.37-1.38
O 0.5543 0.4204 0.1119  1 S 1.49
O 0.5576 0.6915 0.1119  1 S 1.49
O 0.2712 0.0719 0.0133  1 B 1.37
B 0.8882 0.0769 0.1622  3 O 1.37-1.38
O 0.4830 0.0234 0.7941  1 B 1.37
Li 0.5481 0.4519 0.5000  6 O 2.16-2.41
O 0.7421 0.9414 0.0133  1 B 1.37
Sb 0.6250 0.8750 0.7500  6 O 1.97-2.00
Li 0.7019 0.2981 0.0000  6 O 2.16-2.41
O 0.3085 0.4424 0.8881  1 S 1.49
O 0.6924 0.0585 0.3881  1 S 1.49
O 0.9390 0.9793 0.7059  1 B 1.37
Li 0.7029 0.7029 0.0000  4 O 2.11-2.17
O 0.0515 0.7241 0.8160  1 B 1.38
B 0.9760 0.6647 0.3378  3 O 1.37-1.38
O 0.5796 0.4457 0.8881  1 S 1.49
O 0.2734 0.2330 0.2941  1 B 1.37
O 0.3419 0.5145 0.3160  1 B 1.38
B 0.3353 0.0240 0.6622  3 O 1.37-1.38
B 0.9147 0.7260 0.8378  3 O 1.37-1.38
O 0.9741 0.8015 0.3160  1 B 1.38
B 0.9231 0.1118 0.8378  3 O 1.37-1.38
O 0.6704 0.3043 0.6119  1 S 1.49
Li 0.2981 0.7019 0.0000  6 O 2.16-2.41
O 0.2293 0.6890 0.2059  1 B 1.37
O 0.9281 0.7288 0.9867  1 B 1.37
O 0.0207 0.0610 0.2941  1 B 1.37
S 0.5000 0.5000 0.0000  4 O 1.49
Sb 0.1250 0.8750 0.7500  6 O 1.97-2.00
O 0.3110 0.7707 0.7941  1 B 1.37
Li 0.9529 0.4529 0.5000  4 O 2.11-2.17
S 0.7500 0.2500 0.5000  4 O 1.49
O 0.5079 0.8086 0.4867  1 B 1.37
O 0.7670 0.7266 0.7059  1 B 1.37
O 0.1914 0.4921 0.5133  1 B 1.37
B 0.2740 0.0853 0.1622  3 O 1.37-1.38
O 0.9081 0.2355 0.1840  1 B 1.38
O 0.9415 0.3076 0.6119  1 S 1.49